AcTm2Al4, optimized geometry, DFT PBE-GGA; formation energy = -2.5 eV/f.u.; size of the total moment = 0.0 μB per formula unit
1.0
-2.166 2.229 9.404
2.166 -2.229 9.404
2.166 2.229 -9.404
Ac Tm Al
1 2 4
direct
0.000 0.000 0.000
0.187 0.687 0.500
0.813 0.313 0.500
0.351 0.851 0.500
0.429 0.429 0.000
0.571 0.571 0.000
0.649 0.149 0.500